Here is crystalline CaInFe at its relaxed geometry from Alexandria via LeMat-Bulk. Energies are from PBE.

It has space group F-43m (No. 216), with a = 6.988 Å, b = 6.988 Å, c = 6.988 Å, α = 90.00°, β = 90.00° and γ = 90.00°. The inequivalent atoms are Ca at (0.000, 0.000, 0.000), In at (0.250, 0.250, 0.250) and Fe at (0.250, 0.250, 0.750).

For the density of states at the Fermi level, the calculation gives 28.6 states/eV/cell. The energy of formation from the pure elements comes out at 0.886 eV/atom. The total magnetization is 10.04 μB per cell.

Here is crystalline CaInFe at its relaxed geometry from Alexandria via LeMat-Bulk. Energies are from PBE.

It has space group P-6m2 (No. 187), with a = 4.7725 Å, b = 4.7725 Å, c = 3.5288 Å, α = 90.00°, β = 90.00° and γ = 120.00°. The inequivalent atoms are Ca at (0.0000, 0.0000, 0.0000), In at (0.3333, 0.6667, 0.5000) and Fe at (0.6667, 0.3333, 0.5000).

For the density of states at the Fermi level, the calculation gives 5.5 states/eV/cell. The energy of formation from the pure elements comes out at 0.173 eV/atom. The total magnetization is 2.85 μB per cell.

Here is crystalline CaIn2Fe at its relaxed geometry from Alexandria via LeMat-Bulk. Energies are from PBE.

It has space group Pm (No. 6), with a = 3.409 Å, b = 4.888 Å, c = 5.741 Å, α = 90.00°, β = 90.07° and γ = 90.00°. The inequivalent atoms are Ca at (0.000, 0.000, 0.000), In at (0.499, 0.500, 0.762), In at (0.501, 0.000, 0.469) and Fe at (0.501, 0.500, 0.244).

For the density of states at the Fermi level, the calculation gives 4.4 states/eV/cell. The energy of formation from the pure elements comes out at 0.144 eV/atom. The total magnetization is 2.73 μB per cell.

Here is crystalline CaInFe3 at its relaxed geometry from Alexandria via LeMat-Bulk. Energies are from PBE.

It has space group Pm-3m (No. 221), with a = 4.894 Å, b = 4.894 Å, c = 4.894 Å, α = 90.00°, β = 90.00° and γ = 90.00°. The inequivalent atoms are Ca at (0.000, 0.000, 0.000), In at (0.500, 0.500, 0.500) and Fe at (0.000, 0.500, 0.500).

As for the energy above the most stable polymorph in this dataset: 0 meV/atom. For the density of states at the Fermi level, the calculation gives 11.2 states/eV/cell. The energy of formation from the pure elements comes out at 1.096 eV/atom. The total magnetization is 8.22 μB per cell.

Here is crystalline CaIn2Fe at its relaxed geometry from Alexandria via LeMat-Bulk. Energies are from PBE.

It has space group I-4m2 (No. 119), with a = 4.468 Å, b = 4.468 Å, c = 9.105 Å, α = 90.00°, β = 90.00° and γ = 90.00°. The inequivalent atoms are Ca at (0.000, 0.000, 0.000), In at (0.000, 0.000, 0.500), In at (0.000, 0.500, 0.250) and Fe at (0.000, 0.500, 0.750).

For the density of states at the Fermi level, the calculation gives 9.1 states/eV/cell. The energy of formation from the pure elements comes out at 0.160 eV/atom. The total magnetization is 4.93 μB per cell.

Here is crystalline CaIn3Fe at its relaxed geometry from Alexandria via LeMat-Bulk. Energies are from PBE.

It has space group Pm-3m (No. 221), with a = 5.794 Å, b = 5.794 Å, c = 5.794 Å, α = 90.00°, β = 90.00° and γ = 90.00°. The inequivalent atoms are Ca at (0.000, 0.000, 0.000), In at (0.000, 0.000, 0.500) and Fe at (0.500, 0.500, 0.500).

As for the energy above the most stable polymorph in this dataset: 1303 meV/atom. For the density of states at the Fermi level, the calculation gives 10.6 states/eV/cell. The energy of formation from the pure elements comes out at 1.244 eV/atom. The total magnetization is 3.37 μB per cell.

Here is crystalline CaInFe at its relaxed geometry from Alexandria via LeMat-Bulk. Energies are from PBE.

It has space group P3m1 (No. 156), with a = 3.3577 Å, b = 3.3577 Å, c = 7.0868 Å, α = 90.00°, β = 90.00° and γ = 120.00°. The inequivalent atoms are Ca at (0.0000, 0.0000, 0.0000), In at (0.3333, 0.6667, 0.6126) and Fe at (0.6667, 0.3333, 0.3258).

For the density of states at the Fermi level, the calculation gives 2.8 states/eV/cell. The energy of formation from the pure elements comes out at 0.407 eV/atom. The total magnetization is 2.48 μB per cell.

Here is crystalline CaIn2Fe at its relaxed geometry from Alexandria via LeMat-Bulk. Energies are from PBE.

It has space group P4mm (No. 99), with a = 3.555 Å, b = 3.555 Å, c = 7.437 Å, α = 90.00°, β = 90.00° and γ = 90.00°. The inequivalent atoms are Ca at (0.000, 0.000, 0.000), In at (0.000, 0.000, 0.416), In at (0.500, 0.500, 0.687) and Fe at (0.500, 0.500, 0.284).

For the density of states at the Fermi level, the calculation gives 5.4 states/eV/cell. The energy of formation from the pure elements comes out at 0.152 eV/atom. The total magnetization is 2.03 μB per cell.

Here is crystalline CaIn2Fe at its relaxed geometry from Alexandria via LeMat-Bulk. Energies are from PBE.

It has space group Fm-3m (No. 225), with a = 6.880 Å, b = 6.880 Å, c = 6.880 Å, α = 90.00°, β = 90.00° and γ = 90.00°. The inequivalent atoms are Ca at (0.000, 0.000, 0.000), In at (0.250, 0.250, 0.250) and Fe at (0.000, 0.000, 0.500).

For the density of states at the Fermi level, the calculation gives 24.8 states/eV/cell. The energy of formation from the pure elements comes out at 0.222 eV/atom. The total magnetization is 0.00 μB per cell.

Here is crystalline CaIn2Fe at its relaxed geometry from Alexandria via LeMat-Bulk. Energies are from PBE.

It has space group Immm (No. 71), with a = 3.957 Å, b = 5.054 Å, c = 9.066 Å, α = 90.00°, β = 90.00° and γ = 90.00°. The inequivalent atoms are Ca at (0.000, 0.000, 0.000), In at (0.000, 0.500, 0.220) and Fe at (0.000, 0.000, 0.500).

For the density of states at the Fermi level, the calculation gives 9.2 states/eV/cell. The energy of formation from the pure elements comes out at 0.091 eV/atom. The total magnetization is 4.42 μB per cell.

Here is crystalline CaIn2Fe at its relaxed geometry from Alexandria via LeMat-Bulk. Energies are from PBE.

It has space group P4/mmm (No. 123), with a = 4.486 Å, b = 4.486 Å, c = 4.505 Å, α = 90.00°, β = 90.00° and γ = 90.00°. The inequivalent atoms are Ca at (0.000, 0.000, 0.000), In at (0.000, 0.500, 0.500) and Fe at (0.500, 0.500, 0.000).

For the density of states at the Fermi level, the calculation gives 3.9 states/eV/cell. The energy of formation from the pure elements comes out at 0.116 eV/atom. The total magnetization is 2.81 μB per cell.

Here is crystalline CaIn2Fe at its relaxed geometry from Alexandria via LeMat-Bulk. Energies are from PBE.

It has space group I-42d (No. 122), with a = 4.634 Å, b = 4.634 Å, c = 19.683 Å, α = 90.00°, β = 90.00° and γ = 90.00°. The inequivalent atoms are Ca at (0.000, 0.000, 0.000), In at (0.184, 0.250, 0.625) and Fe at (0.000, 0.000, 0.500).

For the density of states at the Fermi level, the calculation gives 21.6 states/eV/cell. The energy of formation from the pure elements comes out at 0.351 eV/atom. The total magnetization is 10.19 μB per cell.

Here is crystalline CaIn2Fe at its relaxed geometry from Alexandria via LeMat-Bulk. Energies are from PBE.

It has space group P4/mmm (No. 123), with a = 3.423 Å, b = 3.423 Å, c = 7.444 Å, α = 90.00°, β = 90.00° and γ = 90.00°. The inequivalent atoms are Ca at (0.000, 0.000, 0.000), In at (0.500, 0.500, 0.301) and Fe at (0.000, 0.000, 0.500).

For the density of states at the Fermi level, the calculation gives 3.3 states/eV/cell. The energy of formation from the pure elements comes out at -0.013 eV/atom. The total magnetization is 2.24 μB per cell.

Here is crystalline CaIn2Fe at its relaxed geometry from Alexandria via LeMat-Bulk. Energies are from PBE.

It has space group C2/m (No. 12), with a = 9.027 Å, b = 3.829 Å, c = 5.873 Å, α = 90.00°, β = 108.26° and γ = 90.00°. The inequivalent atoms are Ca at (0.000, 0.000, 0.000), In at (0.221, 0.000, 0.676) and Fe at (0.000, 0.500, 0.500).

For the density of states at the Fermi level, the calculation gives 9.4 states/eV/cell. The energy of formation from the pure elements comes out at 0.079 eV/atom. The total magnetization is 4.51 μB per cell.

Here is crystalline CaInFe at its relaxed geometry from Alexandria via LeMat-Bulk. Energies are from PBE.

It has space group F-43m (No. 216), with a = 6.712 Å, b = 6.712 Å, c = 6.712 Å, α = 90.00°, β = 90.00° and γ = 90.00°. The inequivalent atoms are Ca at (0.000, 0.000, 0.000), In at (0.000, 0.000, 0.500) and Fe at (0.250, 0.250, 0.750).

For the density of states at the Fermi level, the calculation gives 23.6 states/eV/cell. The energy of formation from the pure elements comes out at 0.351 eV/atom. The total magnetization is 10.14 μB per cell.